[1]
! meta-GGA SCAN TcAgI2, single point on PBEsol structure; values from VASP
! - Total moment: 0.0 μB per formula unit
! - Space-group type: Fm-3m (225)
! - Raw formation energy: 0.974 eV per atom
! - DOS(E_F): 0.3396 states/eV/atom
&SYSTEM
  ibrav = 0, nat = 4, ntyp = 3
/
ATOMIC_SPECIES
Ag 107.87 Ag.upf
I 126.90 I.upf
Tc 98.00 Tc.upf
CELL_PARAMETERS angstrom
4.891 0.000 0.000
2.445 4.236 0.000
2.445 1.412 3.993
ATOMIC_POSITIONS crystal
Ag 0.500 0.500 0.500
I 0.250 0.250 0.250
I 0.750 0.750 0.750
Tc 0.000 0.000 0.000

[2]
! meta-GGA SCAN Tl2AgI3, single point on PBEsol structure; values from VASP
! - Total moment: 0.0 μB per formula unit
! - Space-group type: R-3 (148)
! - Raw formation energy: -0.517 eV per atom
! - DOS(E_F): 0.0000 states/eV/atom
&SYSTEM
  ibrav = 0, nat = 18, ntyp = 3
/
ATOMIC_SPECIES
I 126.90 I.upf
Tl 204.38 Tl.upf
Ag 107.87 Ag.upf
CELL_PARAMETERS angstrom
-2.996 -6.338 5.261
6.871 -3.893 3.802
0.524 2.825 8.281
ATOMIC_POSITIONS crystal
I 0.156 0.662 0.915
I 0.703 0.703 0.703
I 0.338 0.085 0.844
I 0.844 0.338 0.085
I 0.662 0.915 0.156
I 0.500 0.500 0.500
I 0.085 0.844 0.338
I 0.915 0.156 0.662
I 0.297 0.297 0.297
Tl 0.671 0.108 0.450
Tl 0.108 0.450 0.671
Tl 0.550 0.329 0.892
Tl 0.450 0.671 0.108
Tl 0.892 0.550 0.329
Tl 0.329 0.892 0.550
Ag 0.845 0.845 0.845
Ag 0.000 0.000 0.000
Ag 0.155 0.155 0.155

[3]
! meta-GGA SCAN TlAgWI2, single point on PBEsol structure; values from VASP
! - Total moment: 5.8 μB per formula unit
! - Space-group type: P4/mmm (123)
! - Raw formation energy: 1.386 eV per atom
! - DOS(E_F): 0.8106 states/eV/atom
&SYSTEM
  ibrav = 0, nat = 5, ntyp = 4
/
ATOMIC_SPECIES
I 126.90 I.upf
Ag 107.87 Ag.upf
W 183.84 W.upf
Tl 204.38 Tl.upf
CELL_PARAMETERS angstrom
5.346 0.000 0.000
0.000 5.618 0.000
0.000 0.000 5.618
ATOMIC_POSITIONS crystal
I 0.000 0.500 0.000
I 0.000 0.000 0.500
Ag 0.000 0.000 0.000
W 0.500 0.500 0.500
Tl 0.500 0.000 0.000